! LaY (PBEsol, relaxed); values from VASP
&SYSTEM
  ibrav = 0, nat = 4, ntyp = 2
/
ATOMIC_SPECIES
Y 88.91 Y.upf
La 138.91 La.upf
ATOMIC_POSITIONS crystal
Y 0.000 0.500 0.916
Y 0.500 0.000 0.084
La 0.000 0.000 0.581
La 0.500 0.500 0.419
CELL_PARAMETERS angstrom
3.607 0.000 0.000
0.000 5.816 0.000
0.000 0.000 6.196
! * relative energy among the computed polymorphs: 0.042 eV per formula unit
! * VASP energy: -24.25 eV for the cell shown
! * spin magnetization: 0.00 μB/f.u.
! * DOS at the Fermi energy: 5.7 states/eV per cell
! * formation energy from the elements: 0.02 eV/atom